Entry 1:
Computed, not measured: crystalline Tc3Br at its relaxed geometry at the PBE level of DFT.

Unit cell a=3.9661 b=3.9661 c=3.9661 alpha=90.00 beta=90.00 gamma=90.00
Element x y z (fractional)
Br 0.0000 0.0000 0.0000
Tc 0.5000 0.5000 0.0000
Tc 0.5000 0.0000 0.5000
Tc 0.0000 0.5000 0.5000

- Calculated density: 10.0 g/cm³
- Formation energy (no corrections): 4.931 eV/f.u.
- Total moment: 0.0000 μB per atom

Entry 2:
Computed, not measured: crystalline Ac3LaTb3 at its relaxed geometry at the PBE level of DFT.

Unit cell a=6.0480 b=10.1376 c=10.1373 alpha=120.00 beta=90.00 gamma=90.00
Element x y z (fractional)
Tb 0.2500 0.9563 0.1807
Ac 0.7500 0.6312 0.5383
Tb 0.7500 0.0437 0.8193
Ac 0.2500 0.5383 0.9072
Ac 0.7500 0.4617 0.0928
Tb 0.2500 0.8192 0.7756
Ac 0.2500 0.0928 0.6312
Tb 0.7500 0.1808 0.2244
La 0.7500 0.3333 0.6667
La 0.2500 0.6667 0.3333
Tb 0.2500 0.2244 0.0437
Ac 0.7500 0.9072 0.3688
Tb 0.7500 0.7756 0.9563
Ac 0.2500 0.3688 0.4617

- Calculated density: 8.0 g/cm³
- E_form: 57 meV/atom
- Total moment: 0.0000 μB per atom

Entry 3:
Computed, not measured: crystalline LiMgFeCo at its relaxed geometry at the PBE level of DFT.

Unit cell a=4.1922 b=4.1922 c=4.1922 alpha=60.00 beta=60.00 gamma=60.00
Last column: magnetic moment on the atom in μB.
Element x y z (fractional)
Fe 0.7500 0.7500 0.7500  2.59
Li 0.5000 0.5000 0.5000  -0.06
Mg 0.2500 0.2500 0.2500  -0.04
Co 0.0000 0.0000 0.0000  1.15

- Calculated density: 4.7 g/cm³
- E_form: 150 meV/atom
- Total moment: 0.8450 μB per atom

Final energy across the listed records, respectively: -6.96, -4.39, -4.62 eV/atom.